No. 1
La4SnAu PBE-GGA relaxed; distance to the lowest polymorph of the same formula = 1.10 eV/f.u.; formation energy from the elements = -0.37 eV/atom; SG = P2_1/c
1.0
-4.444 2.578 -4.994
-5.996 -0.520 5.068
1.722 7.145 2.771
La Sn Au
8 2 2
direct
0.885 0.648 0.161 La
0.615 0.148 0.839 La
0.326 0.334 0.338 La
0.174 0.834 0.662 La
0.115 0.352 0.839 La
0.385 0.852 0.161 La
0.674 0.666 0.662 La
0.826 0.166 0.338 La
0.000 0.000 0.000 Sn
0.500 0.500 0.000 Sn
0.500 0.000 0.500 Au
0.000 0.500 0.500 Au

---

No. 2
CaGa5Ag7 PBE-GGA relaxed; formation energy from the elements = -0.11 eV/atom; SG = Imm2
1.0
-4.738 -2.206 1.619
0.547 -7.042 1.250
-0.817 0.198 7.124
Ca Ga Ag
1 5 7
direct
0.998 0.002 0.002 Ca
0.501 0.999 0.496 Ga
0.005 0.999 0.496 Ga
0.501 0.496 0.999 Ga
0.005 0.496 0.999 Ga
0.719 0.781 0.781 Ga
0.649 0.351 0.351 Ag
0.337 0.663 0.663 Ag
0.999 0.348 0.655 Ag
0.999 0.655 0.348 Ag
0.280 0.220 0.220 Ag
0.504 0.783 0.208 Ag
0.504 0.208 0.783 Ag

---

No. 3
CrGaAs3 PBE-GGA relaxed; distance to the lowest polymorph of the same formula = 0.00 eV/f.u.; formation energy from the elements = 0.34 eV/atom; SG = Pm-3m
1.0
-4.586 -0.877 0.493
0.559 -4.135 -2.154
0.836 -2.045 4.143
Cr As Ga
1 3 1
direct
0.000 0.000 0.000 Cr
0.000 0.500 0.000 As
0.000 0.000 0.500 As
0.500 0.000 0.000 As
0.500 0.500 0.500 Ga

---

No. 4
In2OsSe PBE-GGA relaxed; calculated total energy = -4.429 eV/atom; SG = I-4m2
1.0
-1.602 1.412 -4.683
-4.137 -2.867 -1.074
1.060 2.865 4.142
In Os Se
2 1 1
direct
0.000 0.000 0.000 In
0.250 0.750 0.500 In
0.500 0.500 0.000 Os
0.750 0.250 0.500 Se

---

No. 5
Ti2ZnSb2 PBE-GGA relaxed; distance to the lowest polymorph of the same formula = 0.00 eV/f.u.; SG = P4/mbm
1.0
-2.145 3.864 5.813
5.684 -2.562 3.801
2.084 2.903 -1.160
Sb Zn Ti
4 2 4
direct
0.157 0.657 0.500 Sb
0.657 0.843 0.500 Sb
0.843 0.343 0.500 Sb
0.343 0.157 0.500 Sb
0.000 0.000 0.000 Zn
0.500 0.500 0.000 Zn
0.357 0.857 0.000 Ti
0.857 0.643 0.000 Ti
0.643 0.143 0.000 Ti
0.143 0.357 0.000 Ti

---

No. 6
Tc2AsSe PBE-GGA relaxed; distance to the lowest polymorph of the same formula = 1.16 eV/f.u.; SG = Imm2
1.0
5.472 0.003 0.000
2.955 4.606 0.000
-3.818 -3.026 2.491
As Tc Se
1 2 1
direct
0.485 0.485 0.000 As
0.986 0.986 0.000 Tc
0.264 0.764 0.500 Tc
0.764 0.264 0.500 Se

---

No. 7
DyPuOsPb PBE-GGA relaxed; formation energy from the elements = -0.22 eV/atom; SG = P4mm
1.0
-2.802 1.263 1.250
-1.253 0.250 -3.062
-3.333 -8.091 0.704
Dy Pu Os Pb
1 1 1 1
direct
0.500 0.500 0.770 Dy
0.500 0.500 0.374 Pu
0.000 0.000 0.570 Os
0.000 0.000 0.070 Pb

---

No. 8
Co2NiHIr PBE-GGA relaxed; distance to the lowest polymorph of the same formula = 0.00 eV/f.u.; SG = P4/mmm
1.0
3.693 0.000 0.000
0.000 3.693 0.000
0.000 0.000 3.639
Ni Ir Co H
1 1 2 1
direct
0.000 0.000 0.500 Ni
0.500 0.500 0.500 Ir
0.000 0.500 0.000 Co
0.500 0.000 0.000 Co
0.000 0.000 0.000 H

---

No. 9
CaSm3Rh4 PBE-GGA relaxed; formation energy from the elements = -0.65 eV/atom; SG = P4/mmm
1.0
4.942 0.000 0.000
0.000 6.894 0.000
0.000 0.000 9.886
Ca Rh Sm
2 8 6
direct
0.000 0.500 0.000 Ca
0.000 0.500 0.500 Ca
0.500 0.756 0.000 Rh
0.500 0.756 0.500 Rh
0.500 0.244 0.000 Rh
0.500 0.244 0.500 Rh
0.999 0.756 0.750 Rh
0.001 0.756 0.250 Rh
0.001 0.244 0.250 Rh
0.999 0.244 0.750 Rh
0.000 0.000 0.000 Sm
0.000 0.000 0.500 Sm
0.500 0.000 0.750 Sm
0.500 0.000 0.250 Sm
0.500 0.500 0.750 Sm
0.500 0.500 0.250 Sm

---

No. 10
TaMnIn2 PBE-GGA relaxed; distance to the lowest polymorph of the same formula = 1.15 eV/f.u.; formation energy from the elements = 0.48 eV/atom; SG = F-43m
1.0
4.724 0.000 0.000
2.362 4.091 0.000
2.362 1.364 3.857
In Mn Ta
2 1 1
direct
0.000 0.000 0.000 In
0.250 0.250 0.250 In
0.500 0.500 0.500 Mn
0.750 0.750 0.750 Ta